The following is a DFT calculation (GGA-PBEsol) of a relaxed structure of BaLa2Cu2.

Values from the calculation:
mass density = 6.06 g/cm³
volume = 148.6 Å³/f.u.
N(E_F) = 0.885 states/eV per atom
energy of formation = 0.18 eV per atom

a b c (Å): 5.2257 5.2257 10.8803
angles (deg): 90.00 90.00 90.00
Closest atoms and distances in Å follow each position.
Space group I4/mmm (No. 139)
Inequivalent atoms, fractional coordinates:
1 Ba 0.0000 0.0000 0.0000 (multiplicity 2)  8 Cu 3.77, 10 La 3.85-4.02
2 La 0.0000 0.0000 0.3534 (multiplicity 4)  4 Cu 2.84
3 Cu 0.0000 0.5000 0.2500 (multiplicity 4)  4 La 2.84

The following is a DFT calculation (GGA-PBEsol) of a relaxed structure of SrSc2Be.

Values from the calculation:
mass density = 3.31 g/cm³
volume = 93.5 Å³/f.u.
N(E_F) = 0.955 states/eV per atom
energy of formation = 0.52 eV per atom

a b c (Å): 4.6211 4.6211 8.7580
angles (deg): 90.00 90.00 90.00
Closest atoms and distances in Å follow each position.
Space group I-4m2 (No. 119)
Inequivalent atoms, fractional coordinates:
1 Sr 0.0000 0.0000 0.0000 (multiplicity 2)  4 Be 3.18, 8 Sc 3.18-3.27
2 Sc 0.0000 0.0000 0.5000 (multiplicity 2)  4 Be 3.18, 4 Sc 3.18, 4 Sr 3.27
3 Sc 0.0000 0.5000 0.7500 (multiplicity 2)  4 Sc 3.18, 4 Sr 3.18, 4 Be 3.27
4 Be 0.0000 0.5000 0.2500 (multiplicity 2)  8 Sc 3.18-3.27, 4 Sr 3.18

The following is a DFT calculation (GGA-PBEsol) of a relaxed structure of LiYNi.

Values from the calculation:
mass density = 4.14 g/cm³
volume = 61.9 Å³/f.u.
excess energy over the best structure of this formula in the dataset = 12.054 kcal/mol of atoms
N(E_F) = 0.255 states/eV per atom
energy of formation = 0.47 eV per atom

a b c (Å): 6.2810 6.2810 6.2810
angles (deg): 90.00 90.00 90.00
Closest atoms and distances in Å follow each position.
Space group F-43m (No. 216)
Inequivalent atoms, fractional coordinates:
1 Li 0.0000 0.0000 0.0000 (multiplicity 4)  4 Y 2.72
2 Y 0.2500 0.2500 0.7500 (multiplicity 4)  4 Li 2.72, 4 Ni 2.72
3 Ni 0.0000 0.0000 0.5000 (multiplicity 4)  4 Y 2.72

The following is a DFT calculation (GGA-PBEsol) of a relaxed structure of Li5Ni3Sn2O10.

Values from the calculation:
mass density = 5.41 g/cm³
volume = 186.6 Å³/f.u.
formation energy (no corrections) = -1.503 eV/atom
N(E_F) = 0.126 states/eV per atom

a b c (Å): 5.1244 5.1447 7.8788
angles (deg): 108.13 101.30 100.82
Closest atoms and distances in Å follow each position.
Space group P-1 (No. 2)
Inequivalent atoms, fractional coordinates:
1 Li 0.0000 0.0000 0.0000 (multiplicity 1)  4 O 2.07-2.13
2 Li 0.0748 0.2016 0.6992 (multiplicity 2)  5 O 2.01-2.24
3 Li 0.2740 0.5818 0.0956 (multiplicity 2)  2 O 1.96-2.14
4 Ni 0.2011 0.3972 0.4006 (multiplicity 2)  6 O 2.02-2.14
5 Ni 0.5000 0.0000 0.5000 (multiplicity 1)  6 O 1.93-2.13
6 Sn 0.3938 0.7923 0.8000 (multiplicity 2)  6 O 2.01-2.10
7 O 0.0401 0.6012 0.8370 (multiplicity 2)  3 Li 1.96-2.13, 1 Sn 2.01, 1 Ni 2.03
8 O 0.1687 0.7969 0.5491 (multiplicity 2)  3 Ni 1.99-2.14, 1 Sn 2.09, 1 Li 2.11
9 O 0.2774 0.0190 0.2786 (multiplicity 2)  2 Ni 1.93-2.03, 1 Li 2.01, 1 Sn 2.08
10 O 0.3580 0.1906 0.9537 (multiplicity 2)  4 Li 2.07-2.26, 2 Sn 2.07-2.09
11 O 0.4500 0.4056 0.6408 (multiplicity 2)  3 Ni 2.02-2.13, 1 Sn 2.10, 2 Li 2.21-2.25

The following is a DFT calculation (GGA-PBEsol) of a relaxed structure of KMgP2S.

Values from the calculation:
mass density = 2.23 g/cm³
volume = 117.0 Å³/f.u.
formation energy (no corrections) = 0.236 eV/atom
N(E_F) = 0.843 states/eV per atom

a b c (Å): 4.8588 4.8588 4.9547
angles (deg): 90.00 90.00 90.00
Closest atoms and distances in Å follow each position.
Space group P4/mmm (No. 123)
Inequivalent atoms, fractional coordinates:
1 K 0.0000 0.0000 0.0000 (multiplicity 1)  4 S 3.44, 8 P 3.47
2 Mg 0.5000 0.5000 0.5000 (multiplicity 1)  4 P 2.43, 2 S 2.48
3 P 0.0000 0.5000 0.5000 (multiplicity 2)  2 Mg 2.43
4 S 0.5000 0.5000 0.0000 (multiplicity 1)  2 Mg 2.48

The following is a DFT calculation (GGA-PBEsol) of a relaxed structure of Cd3Se.

Values from the calculation:
mass density = 7.54 g/cm³
volume = 91.7 Å³/f.u.
formation energy (no corrections) = -0.017 eV/atom
N(E_F) = 0.286 states/eV per atom

a b c (Å): 3.9665 3.9665 11.6524
angles (deg): 90.00 90.00 90.00
Closest atoms and distances in Å follow each position.
Space group I4/mmm (No. 139)
Inequivalent atoms, fractional coordinates:
1 Cd 0.0000 0.0000 0.0000 (multiplicity 2)  4 Se 2.80
2 Cd 0.0000 0.5000 0.2500 (multiplicity 4)  4 Cd 2.80
3 Se 0.0000 0.0000 0.5000 (multiplicity 2)  4 Cd 2.80

The following is a DFT calculation (GGA-PBEsol) of a relaxed structure of ScRe2HgAs.

Values from the calculation:
mass density = 9.76 g/cm³
volume = 117.9 Å³/f.u.
N(E_F) = 1.230 states/eV per atom
energy of formation = 2.24 eV per atom

a b c (Å): 4.9405 4.9405 4.8295
angles (deg): 90.00 90.00 90.00
Closest atoms and distances in Å follow each position.
Space group P4/mmm (No. 123)
Inequivalent atoms, fractional coordinates:
1 Sc 0.0000 0.0000 0.0000 (multiplicity 1)  8 Re 3.45, 4 As 3.49
2 Re 0.0000 0.5000 0.5000 (multiplicity 2)  2 Hg 2.47
3 Hg 0.5000 0.5000 0.5000 (multiplicity 1)  2 As 2.41, 4 Re 2.47
4 As 0.5000 0.5000 0.0000 (multiplicity 1)  2 Hg 2.41

The following is a DFT calculation (GGA-PBEsol) of a relaxed structure of Mg2TlBr.

Values from the calculation:
mass density = 5.35 g/cm³
volume = 103.3 Å³/f.u.
formation energy (no corrections) = -0.211 eV/atom
N(E_F) = 0.352 states/eV per atom

a b c (Å): 3.4577 5.4653 5.4639
angles (deg): 90.00 90.11 90.00
Closest atoms and distances in Å follow each position.
Space group P2/m (No. 10)
Inequivalent atoms, fractional coordinates:
1 Mg 0.2323 0.0000 0.2570 (multiplicity 2)  6 Mg 3.11-3.46, 2 Br 3.14, 2 Tl 3.21
2 Tl 0.5000 0.5000 0.0000 (multiplicity 1)  4 Mg 3.21, 4 Br 3.23-3.24, 2 Tl 3.46
3 Br 0.0000 0.5000 0.5000 (multiplicity 1)  4 Mg 3.14, 4 Tl 3.23-3.24, 2 Br 3.46

The following is a DFT calculation (GGA-PBEsol) of a relaxed structure of BaTaRe.

Values from the calculation:
mass density = 12.25 g/cm³
volume = 68.4 Å³/f.u.
N(E_F) = 1.450 states/eV per atom
energy of formation = 2.75 eV per atom

a b c (Å): 6.4912 6.4912 6.4912
angles (deg): 90.00 90.00 90.00
Closest atoms and distances in Å follow each position.
Space group F-43m (No. 216)
Inequivalent atoms, fractional coordinates:
1 Ba 0.0000 0.0000 0.0000 (multiplicity 4)  4 Ta 2.81, 4 Re 2.81
2 Ta 0.2500 0.2500 0.2500 (multiplicity 4)  4 Ba 2.81
3 Re 0.2500 0.2500 0.7500 (multiplicity 4)  4 Ba 2.81

The following is a DFT calculation (GGA-PBEsol) of a relaxed structure of TaZn2In.

Values from the calculation:
mass density = 10.14 g/cm³
volume = 69.9 Å³/f.u.
N(E_F) = 0.511 states/eV per atom
energy of formation = 0.13 eV per atom

a b c (Å): 2.8475 2.8475 8.6184
angles (deg): 90.00 90.00 90.00
Closest atoms and distances in Å follow each position.
Space group P4/mmm (No. 123)
Inequivalent atoms, fractional coordinates:
1 Ta 0.0000 0.0000 0.0000 (multiplicity 1)  8 Zn 2.80, 4 Ta 2.85
2 Zn 0.5000 0.5000 0.2265 (multiplicity 2)  4 Ta 2.80, 4 Zn 2.85, 4 In 3.10
3 In 0.0000 0.0000 0.5000 (multiplicity 1)  4 In 2.85, 8 Zn 3.10

The following is a DFT calculation (GGA-PBEsol) of a relaxed structure of SrIn3Hg.

Values from the calculation:
mass density = 7.78 g/cm³
volume = 135.1 Å³/f.u.
N(E_F) = 0.229 states/eV per atom
energy of formation = -0.37 eV per atom

a b c (Å): 4.6503 4.6503 12.4940
angles (deg): 90.00 90.00 90.00
Closest atoms and distances in Å follow each position.
Space group I4mm (No. 107)
Inequivalent atoms, fractional coordinates:
1 Sr 0.0000 0.0000 0.0000 (multiplicity 2)  4 Hg 3.53, 8 In 3.59-3.81
2 In 0.0000 0.0000 0.6157 (multiplicity 2)  1 Hg 2.72, 4 In 2.93
3 In 0.0000 0.5000 0.2587 (multiplicity 4)  2 Hg 2.90, 2 In 2.93
4 Hg 0.0000 0.0000 0.3976 (multiplicity 2)  5 In 2.72-2.90

The following is a DFT calculation (GGA-PBEsol) of a relaxed structure of NbAlS3.

Values from the calculation:
mass density = 3.28 g/cm³
volume = 109.4 Å³/f.u.
formation energy (no corrections) = -0.306 eV/atom
N(E_F) = 0.541 states/eV per atom

a b c (Å): 4.7826 4.7826 4.7826
angles (deg): 90.00 90.00 90.00
Closest atoms and distances in Å follow each position.
Space group Pm-3m (No. 221)
Inequivalent atoms, fractional coordinates:
1 Nb 0.0000 0.0000 0.0000 (multiplicity 1)  6 S 2.39
2 Al 0.5000 0.5000 0.5000 (multiplicity 1)  12 S 3.38
3 S 0.0000 0.0000 0.5000 (multiplicity 3)  2 Nb 2.39

Among the records above, which one has the lowest N(E_F)? Li5Ni3Sn2O10

Number 1 is which compound? BaLa2Cu2

The lowest volume belongs to which entry? LiYNi

Which of these has the highest volume? Li5Ni3Sn2O10